Below is a relaxed MgSc5Cd6 crystal, with properties calculated at the PBE-GGA level. Values from VASP.

```
&SYSTEM
  ibrav = 0, nat = 12, ntyp = 3
/
ATOMIC_SPECIES
Cd 112.41 Cd.upf
Sc 44.96 Sc.upf
Mg 24.30 Mg.upf
CELL_PARAMETERS angstrom
4.7486 0.0200 -1.3858
-0.9806 6.2773 -3.2688
-0.0662 0.4057 8.6077
ATOMIC_POSITIONS crystal
Cd 0.1654 0.9195 0.3308
Cd 0.8346 0.0805 0.6692
Cd 0.4999 0.2450 0.0000
Cd 0.5001 0.7550 0.0000
Sc 0.6668 0.1668 0.3335
Sc 0.0000 0.5000 0.0000
Sc 0.3332 0.8332 0.6665
Sc 0.6671 0.6671 0.3342
Cd 0.8346 0.5887 0.6692
Sc 0.3329 0.3329 0.6658
Cd 0.1654 0.4113 0.3308
Mg 0.0000 0.0000 0.0000
```

Calculated volume: 21.92 Å³ per atom
Crystal system: orthorhombic
Total moment: 0.000 μB/atom
E: -42.05 eV per cell

***

Below is a relaxed Mg2ScCd4 crystal, with properties calculated at the PBE-GGA level. Values from VASP.

```
&SYSTEM
  ibrav = 0, nat = 7, ntyp = 3
/
ATOMIC_SPECIES
Mg 24.30 Mg.upf
Sc 44.96 Sc.upf
Cd 112.41 Cd.upf
CELL_PARAMETERS angstrom
-2.3254 0.9358 -2.0937
-0.7496 -3.0596 -0.5349
-9.6239 2.0013 11.5834
ATOMIC_POSITIONS crystal
Mg 0.5000 0.7940 0.5880
Sc 0.0000 0.5000 0.0000
Mg 0.5000 0.2060 0.4120
Cd 0.5000 0.9308 0.8615
Cd 0.5000 0.0692 0.1385
Cd 0.0000 0.3612 0.7224
Cd 0.0000 0.6388 0.2776
```

Calculated volume: 22.52 Å³ per atom
Crystal system: orthorhombic
Total moment: 0.053 μB/atom
E: -13.81 eV per cell

***

Below is a relaxed MgSc2Cd8 crystal, with properties calculated at the PBE-GGA level. Values from VASP.

```
&SYSTEM
  ibrav = 0, nat = 11, ntyp = 3
/
ATOMIC_SPECIES
Cd 112.41 Cd.upf
Sc 44.96 Sc.upf
Mg 24.30 Mg.upf
CELL_PARAMETERS angstrom
-0.6595 4.4495 -1.7137
-2.4992 -2.5977 -5.7827
-5.3209 -0.8142 6.6936
ATOMIC_POSITIONS crystal
Cd 0.6389 0.8573 0.2777
Cd 0.6394 0.4209 0.2788
Sc 0.1995 0.7002 0.3990
Mg 0.5000 0.0000 0.0000
Cd 0.0002 0.2903 0.0004
Cd 0.3606 0.5791 0.7212
Cd 0.3611 0.1427 0.7223
Cd 0.1632 0.1633 0.3265
Cd 0.8368 0.8367 0.6735
Sc 0.8005 0.2998 0.6010
Cd 0.9998 0.7097 0.9996
```

Calculated volume: 22.37 Å³ per atom
Crystal system: monoclinic
Total moment: 0.000 μB/atom
E: -22.71 eV per cell

***

Below is a relaxed Mg4ScCd2 crystal, with properties calculated at the PBE-GGA level. Values from VASP.

```
&SYSTEM
  ibrav = 0, nat = 14, ntyp = 3
/
ATOMIC_SPECIES
Mg 24.30 Mg.upf
Cd 112.41 Cd.upf
Sc 44.96 Sc.upf
CELL_PARAMETERS angstrom
-2.6737 -1.2623 3.6169
-2.7423 -6.5576 -4.3158
6.2432 -4.5932 3.0121
ATOMIC_POSITIONS crystal
Mg 0.0000 0.3635 0.1168
Cd 0.0000 0.8217 0.1783
Sc 0.0000 0.5000 0.5000
Mg 0.5000 0.3832 0.8635
Cd 0.0000 0.1783 0.8217
Cd 0.5000 0.3217 0.3217
Sc 0.5000 0.0000 0.0000
Mg 0.5000 0.1365 0.6168
Mg 0.5000 0.8635 0.3832
Mg 0.5000 0.6168 0.1365
Mg 0.0000 0.1168 0.3635
Mg 0.0000 0.8832 0.6365
Cd 0.5000 0.6783 0.6783
Mg 0.0000 0.6365 0.8832
```

Calculated volume: 23.07 Å³ per atom
Crystal system: tetragonal
Total moment: 0.000 μB/atom
E: -29.42 eV per cell

***

Below is a relaxed MgSc2Cd crystal, with properties calculated at the PBE-GGA level. Values from VASP.

```
&SYSTEM
  ibrav = 0, nat = 4, ntyp = 3
/
ATOMIC_SPECIES
Cd 112.41 Cd.upf
Sc 44.96 Sc.upf
Mg 24.30 Mg.upf
CELL_PARAMETERS angstrom
-0.6048 -0.3505 3.1998
2.4852 -0.2457 2.1192
0.6729 9.9912 2.8924
ATOMIC_POSITIONS crystal
Cd 0.6666 0.6666 0.0001
Sc 0.2530 0.2530 0.2409
Sc 0.0802 0.0802 0.7593
Mg 0.5001 0.5001 0.4997
```

Calculated volume: 23.81 Å³ per atom
Crystal system: trigonal
Total moment: 0.249 μB/atom
E: -15.25 eV per cell

***

Below is a relaxed Mg8ScCd6 crystal, with properties calculated at the PBE-GGA level. Values from VASP.

```
&SYSTEM
  ibrav = 0, nat = 15, ntyp = 3
/
ATOMIC_SPECIES
Mg 24.30 Mg.upf
Cd 112.41 Cd.upf
Sc 44.96 Sc.upf
CELL_PARAMETERS angstrom
8.4694 0.0000 0.0000
4.2347 7.3347 0.0000
4.2347 2.4449 5.7605
ATOMIC_POSITIONS crystal
Mg 0.6612 0.6612 0.0163
Cd 0.9523 0.2834 0.1506
Mg 0.2151 0.8814 0.3545
Mg 0.1186 0.4510 0.6455
Cd 0.6136 0.9523 0.1506
Mg 0.5490 0.2151 0.3545
Cd 0.7166 0.3864 0.8494
Mg 0.3388 0.3388 0.9837
Mg 0.7849 0.1186 0.6455
Sc 0.0000 0.0000 0.0000
Cd 0.2834 0.6136 0.1506
Mg 0.8814 0.5490 0.3545
Cd 0.0477 0.7166 0.8494
Mg 0.4510 0.7849 0.6455
Cd 0.3864 0.0477 0.8494
```

Calculated volume: 23.86 Å³ per atom
Crystal system: trigonal
Total moment: 0.000 μB/atom
E: -25.06 eV per cell

***

Below is a relaxed MgSc2Cd crystal, with properties calculated at the PBE-GGA level. Values from VASP.

```
&SYSTEM
  ibrav = 0, nat = 4, ntyp = 3
/
ATOMIC_SPECIES
Sc 44.96 Sc.upf
Mg 24.30 Mg.upf
Cd 112.41 Cd.upf
CELL_PARAMETERS angstrom
-0.5198 -0.1305 5.5680
4.9057 -0.9045 2.5311
-1.6852 3.6065 -3.9298
ATOMIC_POSITIONS crystal
Sc 0.0000 0.0000 0.0000
Mg 0.7500 0.2500 0.5000
Cd 0.5000 0.5000 0.0000
Sc 0.2500 0.7500 0.5000
```

Calculated volume: 22.74 Å³ per atom
Crystal system: tetragonal
Total moment: 0.000 μB/atom
E: -15.39 eV per cell

***

Below is a relaxed Mg2ScCd3 crystal, with properties calculated at the PBE-GGA level. Values from VASP.

```
&SYSTEM
  ibrav = 0, nat = 12, ntyp = 3
/
ATOMIC_SPECIES
Cd 112.41 Cd.upf
Mg 24.30 Mg.upf
Sc 44.96 Sc.upf
CELL_PARAMETERS angstrom
4.7494 0.0116 0.0188
2.3924 7.1829 0.0095
-0.0300 0.0000 7.5768
ATOMIC_POSITIONS crystal
Cd 0.5000 0.0000 0.7531
Mg 0.0000 0.0000 0.5000
Mg 0.0000 0.0000 0.0000
Cd 0.8343 0.3341 0.7444
Cd 0.1657 0.6659 0.7444
Mg 0.6613 0.6735 0.5000
Cd 0.5000 0.0000 0.2469
Mg 0.3387 0.3265 0.5000
Cd 0.1657 0.6659 0.2556
Sc 0.3334 0.3338 0.0000
Sc 0.6666 0.6662 0.0000
Cd 0.8343 0.3341 0.2556
```

Calculated volume: 21.52 Å³ per atom
Crystal system: monoclinic
Total moment: 0.000 μB/atom
E: -26.81 eV per cell

***

Below is a relaxed MgSc2Cd2 crystal, with properties calculated at the PBE-GGA level. Values from VASP.

```
&SYSTEM
  ibrav = 0, nat = 5, ntyp = 3
/
ATOMIC_SPECIES
Sc 44.96 Sc.upf
Cd 112.41 Cd.upf
Mg 24.30 Mg.upf
CELL_PARAMETERS angstrom
4.0593 0.0000 0.0000
0.0000 4.0593 0.0000
2.0297 2.0297 7.7133
ATOMIC_POSITIONS crystal
Sc 0.4022 0.4022 0.1955
Sc 0.5978 0.5978 0.8045
Cd 0.2500 0.7500 0.5000
Mg 0.0000 0.0000 0.0000
Cd 0.7500 0.2500 0.5000
```

Calculated volume: 25.42 Å³ per atom
Crystal system: tetragonal
Total moment: 0.138 μB/atom
E: -15.22 eV per cell

***

Below is a relaxed Mg3ScCd3 crystal, with properties calculated at the PBE-GGA level. Values from VASP.

```
&SYSTEM
  ibrav = 0, nat = 14, ntyp = 3
/
ATOMIC_SPECIES
Mg 24.30 Mg.upf
Cd 112.41 Cd.upf
Sc 44.96 Sc.upf
CELL_PARAMETERS angstrom
-4.9242 1.8589 6.4712
-8.0859 -2.0399 -0.1908
-3.2334 -4.6350 4.2471
ATOMIC_POSITIONS crystal
Mg 0.0506 0.8861 0.7428
Mg 0.3205 0.0506 0.7428
Cd 0.6175 0.1694 0.7498
Cd 0.1694 0.4633 0.7498
Mg 0.1139 0.6795 0.2572
Mg 0.9494 0.1139 0.2572
Sc 0.7402 0.7402 0.7794
Cd 0.3825 0.8306 0.2502
Cd 0.5367 0.3825 0.2502
Cd 0.4633 0.6175 0.7498
Mg 0.8861 0.3205 0.7428
Sc 0.2598 0.2598 0.2206
Cd 0.8306 0.5367 0.2502
Mg 0.6795 0.9494 0.2572
```

Calculated volume: 22.27 Å³ per atom
Crystal system: trigonal
Total moment: 0.000 μB/atom
E: -28.96 eV per cell

***

Below is a relaxed Mg2Sc2Cd3 crystal, with properties calculated at the PBE-GGA level. Values from VASP.

```
&SYSTEM
  ibrav = 0, nat = 7, ntyp = 3
/
ATOMIC_SPECIES
Sc 44.96 Sc.upf
Mg 24.30 Mg.upf
Cd 112.41 Cd.upf
CELL_PARAMETERS angstrom
4.6508 0.0034 -1.3013
-2.5028 4.1296 -0.0013
-0.1221 -0.0717 8.5618
ATOMIC_POSITIONS crystal
Sc 0.2557 0.1282 0.3834
Mg 0.2270 0.6133 0.8413
Cd 0.4979 0.7494 0.2459
Mg 0.7730 0.3867 0.1587
Cd 0.5021 0.2506 0.7541
Sc 0.7443 0.8718 0.6166
Cd 0.0000 0.0000 0.0000
```

Calculated volume: 23.37 Å³ per atom
Crystal system: triclinic
Total moment: 0.000 μB/atom
E: -19.01 eV per cell

***

Below is a relaxed MgSc2Cd9 crystal, with properties calculated at the PBE-GGA level. Values from VASP.

```
&SYSTEM
  ibrav = 0, nat = 12, ntyp = 3
/
ATOMIC_SPECIES
Cd 112.41 Cd.upf
Sc 44.96 Sc.upf
Mg 24.30 Mg.upf
CELL_PARAMETERS angstrom
5.5887 0.0894 -0.2351
2.7188 4.9088 -0.2303
-2.3255 -1.4156 10.0146
ATOMIC_POSITIONS crystal
Cd 0.2518 0.9206 0.7489
Cd 0.0798 0.4233 0.2510
Cd 0.5770 0.2510 0.7488
Cd 0.4230 0.7490 0.2512
Cd 0.5000 0.5000 0.5000
Cd 0.6639 0.6648 0.9943
Cd 0.7482 0.0794 0.2511
Cd 0.9202 0.5767 0.7490
Sc 0.8349 0.8341 0.5036
Mg 0.0000 0.0000 0.0000
Sc 0.1651 0.1659 0.4964
Cd 0.3361 0.3352 0.0057
```

Calculated volume: 22.40 Å³ per atom
Crystal system: triclinic
Total moment: 0.036 μB/atom
E: -23.51 eV per cell

***

Below is a relaxed MgSc3Cd7 crystal, with properties calculated at the PBE-GGA level. Values from VASP.

```
&SYSTEM
  ibrav = 0, nat = 22, ntyp = 3
/
ATOMIC_SPECIES
Cd 112.41 Cd.upf
Sc 44.96 Sc.upf
Mg 24.30 Mg.upf
CELL_PARAMETERS angstrom
3.3382 0.0000 0.0000
-1.6691 9.8729 0.0000
0.0000 0.0000 15.0614
ATOMIC_POSITIONS crystal
Cd 0.5145 0.0290 0.2500
Cd 0.3132 0.6264 0.9568
Sc 0.0611 0.1223 0.4091
Mg 0.8861 0.7723 0.2500
Cd 0.5722 0.1445 0.9148
Cd 0.7206 0.4412 0.6524
Cd 0.6868 0.3736 0.4568
Cd 0.2794 0.5588 0.3476
Cd 0.6868 0.3736 0.0432
Sc 0.6626 0.3253 0.2500
Cd 0.5722 0.1445 0.5852
Sc 0.9389 0.8777 0.5909
Sc 0.9389 0.8777 0.9091
Cd 0.3132 0.6264 0.5432
Cd 0.7206 0.4412 0.8476
Sc 0.3374 0.6747 0.7500
Cd 0.4855 0.9710 0.7500
Cd 0.4278 0.8555 0.0852
Cd 0.2794 0.5588 0.1524
Mg 0.1139 0.2277 0.7500
Sc 0.0611 0.1223 0.0909
Cd 0.4278 0.8555 0.4148
```

Calculated volume: 22.56 Å³ per atom
Crystal system: orthorhombic
Total moment: 0.000 μB/atom
E: -57.13 eV per cell

***

Below is a relaxed Mg4Sc5Cd2 crystal, with properties calculated at the PBE-GGA level. Values from VASP.

```
&SYSTEM
  ibrav = 0, nat = 22, ntyp = 3
/
ATOMIC_SPECIES
Sc 44.96 Sc.upf
Mg 24.30 Mg.upf
Cd 112.41 Cd.upf
CELL_PARAMETERS angstrom
3.4184 0.0000 0.0000
0.0000 8.0213 0.0000
0.0000 0.0000 18.5432
ATOMIC_POSITIONS crystal
Sc 0.0000 0.1270 0.9309
Sc 0.0000 0.7565 0.2915
Mg 0.5000 0.7925 0.9331
Sc 0.0000 0.6270 0.5691
Sc 0.0000 0.2565 0.2085
Mg 0.5000 0.2925 0.5669
Mg 0.5000 0.4206 0.8514
Cd 0.5000 0.9560 0.1954
Mg 0.5000 0.9206 0.6486
Sc 0.0000 0.7435 0.7915
Mg 0.5000 0.0794 0.3514
Cd 0.5000 0.5440 0.6954
Sc 0.0000 0.8730 0.0691
Cd 0.5000 0.4560 0.3046
Sc 0.0000 0.0000 0.5000
Sc 0.0000 0.5000 0.0000
Cd 0.5000 0.0440 0.8046
Mg 0.5000 0.5794 0.1486
Mg 0.5000 0.2075 0.0669
Sc 0.0000 0.3730 0.4309
Mg 0.5000 0.7075 0.4331
Sc 0.0000 0.2435 0.7085
```

Calculated volume: 23.11 Å³ per atom
Crystal system: orthorhombic
Total moment: 0.000 μB/atom
E: -81.94 eV per cell

***

Below is a relaxed Mg3ScCd3 crystal, with properties calculated at the PBE-GGA level. Values from VASP.

```
&SYSTEM
  ibrav = 0, nat = 28, ntyp = 3
/
ATOMIC_SPECIES
Mg 24.30 Mg.upf
Cd 112.41 Cd.upf
Sc 44.96 Sc.upf
CELL_PARAMETERS angstrom
-2.0787 -1.5538 8.1765
4.2720 -7.4319 -0.3262
7.1428 3.9927 2.5747
ATOMIC_POSITIONS crystal
Mg 0.6832 0.3168 0.8168
Cd 0.9904 0.1895 0.8864
Sc 0.9555 0.0445 0.5445
Cd 0.5096 0.8105 0.3864
Cd 0.3105 0.1136 0.4904
Mg 0.3168 0.8168 0.6832
Mg 0.1832 0.1832 0.1832
Cd 0.8864 0.9904 0.1895
Mg 0.6300 0.1300 0.3700
Mg 0.3700 0.6300 0.1300
Cd 0.0096 0.6895 0.6136
Mg 0.8700 0.8700 0.8700
Mg 0.8168 0.6832 0.3168
Cd 0.4904 0.3105 0.1136
Cd 0.1136 0.4904 0.3105
Mg 0.1662 0.8338 0.3338
Cd 0.3864 0.5096 0.8105
Mg 0.8338 0.3338 0.1662
Sc 0.5445 0.9555 0.0445
Cd 0.6895 0.6136 0.0096
Cd 0.1895 0.8864 0.9904
Sc 0.4555 0.4555 0.4555
Mg 0.3338 0.1662 0.8338
Sc 0.0445 0.5445 0.9555
Cd 0.8105 0.3864 0.5096
Cd 0.6136 0.0096 0.6895
Mg 0.1300 0.3700 0.6300
Mg 0.6662 0.6662 0.6662
```

Calculated volume: 22.55 Å³ per atom
Crystal system: cubic
Total moment: 0.000 μB/atom
E: -57.45 eV per cell

***

Below is a relaxed MgSc2Cd crystal, with properties calculated at the PBE-GGA level. Values from VASP.

```
&SYSTEM
  ibrav = 0, nat = 4, ntyp = 3
/
ATOMIC_SPECIES
Mg 24.30 Mg.upf
Sc 44.96 Sc.upf
Cd 112.41 Cd.upf
CELL_PARAMETERS angstrom
3.6350 0.5241 -0.4574
-0.7406 4.8622 -0.3009
0.5568 0.3867 4.8806
ATOMIC_POSITIONS crystal
Mg 0.5000 0.5000 0.0000
Sc 0.0000 0.0000 0.0000
Sc 0.0000 0.5000 0.5000
Cd 0.5000 0.0000 0.5000
```

Calculated volume: 22.46 Å³ per atom
Crystal system: tetragonal
Total moment: 0.001 μB/atom
E: -15.87 eV per cell

***

Below is a relaxed MgSc2Cd5 crystal, with properties calculated at the PBE-GGA level. Values from VASP.

```
&SYSTEM
  ibrav = 0, nat = 8, ntyp = 3
/
ATOMIC_SPECIES
Mg 24.30 Mg.upf
Sc 44.96 Sc.upf
Cd 112.41 Cd.upf
CELL_PARAMETERS angstrom
-0.9471 -5.6929 1.9981
5.3238 0.4395 -2.9602
0.3110 3.9451 4.6517
ATOMIC_POSITIONS crystal
Mg 0.0000 0.1812 0.1812
Sc 0.5000 0.2225 0.7225
Cd 0.0000 0.2460 0.6960
Cd 0.0000 0.7677 0.7677
Cd 0.5499 0.2460 0.2460
Sc 0.5000 0.7225 0.2225
Cd 0.0000 0.6960 0.2460
Cd 0.4501 0.6960 0.6960
```

Calculated volume: 21.86 Å³ per atom
Crystal system: tetragonal
Total moment: 0.000 μB/atom
E: -20.44 eV per cell

***

Below is a relaxed MgSc2Cd crystal, with properties calculated at the PBE-GGA level. Values from VASP.

```
&SYSTEM
  ibrav = 0, nat = 4, ntyp = 3
/
ATOMIC_SPECIES
Sc 44.96 Sc.upf
Cd 112.41 Cd.upf
Mg 24.30 Mg.upf
CELL_PARAMETERS angstrom
5.4410 -0.0075 0.0135
4.4417 3.1427 0.0135
1.0139 0.3217 5.4742
ATOMIC_POSITIONS crystal
Sc 0.0039 0.0039 0.9973
Sc 0.4961 0.4961 0.5027
Cd 0.7500 0.7500 0.7500
Mg 0.2500 0.2500 0.2500
```

Calculated volume: 23.44 Å³ per atom
Crystal system: monoclinic
Total moment: 0.000 μB/atom
E: -15.45 eV per cell

***

Below is a relaxed Mg2Sc6Cd crystal, with properties calculated at the PBE-GGA level. Values from VASP.

```
&SYSTEM
  ibrav = 0, nat = 9, ntyp = 3
/
ATOMIC_SPECIES
Mg 24.30 Mg.upf
Sc 44.96 Sc.upf
Cd 112.41 Cd.upf
CELL_PARAMETERS angstrom
5.0714 0.0000 0.0000
-2.5357 4.3761 0.2902
0.0000 -0.6518 9.4833
ATOMIC_POSITIONS crystal
Mg 0.3331 0.6663 0.0670
Sc 0.6668 0.3336 0.6035
Sc 0.9998 0.9996 0.1813
Sc 0.6664 0.3328 0.2603
Sc 0.3336 0.6672 0.7397
Mg 0.6669 0.3337 0.9330
Sc 0.0002 0.0004 0.8187
Sc 0.3332 0.6664 0.3965
Cd 0.0000 0.0000 0.5000
```

Calculated volume: 23.49 Å³ per atom
Crystal system: monoclinic
Total moment: 0.000 μB/atom
E: -42.04 eV per cell

***

Below is a relaxed Mg2Sc3Cd4 crystal, with properties calculated at the PBE-GGA level. Values from VASP.

```
&SYSTEM
  ibrav = 0, nat = 9, ntyp = 3
/
ATOMIC_SPECIES
Mg 24.30 Mg.upf
Sc 44.96 Sc.upf
Cd 112.41 Cd.upf
CELL_PARAMETERS angstrom
4.9524 0.0006 0.0008
2.4759 4.2855 0.1566
-0.0018 -0.3399 9.2174
ATOMIC_POSITIONS crystal
Mg 0.3334 0.3333 0.7686
Sc 0.0000 0.0000 0.0000
Cd 0.0000 0.0000 0.3392
Cd 0.3333 0.3335 0.0948
Cd 0.6667 0.6665 0.9052
Sc 0.6667 0.6667 0.5806
Cd 0.0000 0.0000 0.6608
Mg 0.6666 0.6667 0.2314
Sc 0.3333 0.3333 0.4194
```

Calculated volume: 21.76 Å³ per atom
Crystal system: trigonal
Total moment: 0.000 μB/atom
E: -27.69 eV per cell

***

no.,calculated density (g/cm³)
1,5.831
2,5.721
3,6.838
4,3.773
5,3.952
6,4.241
7,4.137
8,5.540
9,4.429
10,4.847
11,4.828
12,6.957
13,6.330
14,3.572
15,4.788
16,4.188
17,6.420
18,4.014
19,3.383
20,5.367